Record 1
A PBEsol-optimized structure of SrCrO2F. Source: Alexandria, functional meta-GGA SCAN.

Geometry as POSCAR:
```
SrCrO2F
1.0
3.9063 0.0000 0.0000
0.0000 3.8862 0.0000
0.0000 0.0000 3.8862
Cr F Sr O
1 1 1 2
direct
0.0000 0.0000 0.0000 Cr
0.5000 0.0000 0.0000 F
0.5000 0.5000 0.5000 Sr
0.0000 0.5000 0.0000 O
0.0000 0.0000 0.5000 O
```

Computed properties:
Energy in eV/atom: -14.3556
Energy relative to the elements, uncorrected in meV/atom: -3023
Density in Mg/m³: 5.37
Symmetry: P4/mmm

Record 2
A PBEsol-optimized structure of SrCrO2F. Source: Alexandria, functional meta-GGA SCAN.

Geometry as POSCAR:
```
SrCrO2F
1.0
-0.9516 -0.5936 -4.2758
1.9699 -4.0501 0.1239
-3.9342 -1.8788 1.1364
Cr O F Sr
1 2 1 1
direct
0.5000 0.5000 0.5000 Cr
0.0000 0.0000 0.5000 O
0.0000 0.5000 0.0000 O
0.5000 0.0000 0.0000 F
0.0000 0.0000 0.0000 Sr
```

Computed properties:
DOS at the Fermi energy in states/eV/f.u.: 3.420
Energy in eV/atom: -12.3782
Energy relative to the elements, uncorrected in meV/atom: -1046
Density in Mg/m³: 3.53
Symmetry: P4/mmm

Record 3
A PBEsol-optimized structure of TaCrOF2. Source: Alexandria, functional meta-GGA SCAN.

Geometry as POSCAR:
```
TaCrOF2
1.0
-3.1526 -0.7810 2.1862
0.5808 -4.1263 -0.6365
2.4311 -0.1882 3.4385
F O Ta Cr
2 1 1 1
direct
0.0000 0.5000 0.0000 F
0.0000 0.0000 0.5000 F
0.5000 0.0000 0.0000 O
0.0000 0.0000 0.0000 Ta
0.5000 0.5000 0.5000 Cr
```

Computed properties:
DOS at the Fermi energy in states/eV/f.u.: 1.731
Energy in eV/atom: -21.2945
Energy relative to the elements, uncorrected in meV/atom: -1639
Density in Mg/m³: 6.85
Symmetry: P4/mmm

Record 4
A PBEsol-optimized structure of TiCrOF2. Source: Alexandria, functional meta-GGA SCAN.

Geometry as POSCAR:
```
TiCrOF2
1.0
3.8559 0.0000 0.0000
0.0000 3.9493 0.0000
0.0000 0.0000 3.9493
Cr F Ti O
1 2 1 1
direct
0.0000 0.0000 0.0000 Cr
0.0000 0.0000 0.5000 F
0.0000 0.5000 0.0000 F
0.5000 0.5000 0.5000 Ti
0.5000 0.0000 0.0000 O
```

Computed properties:
DOS at the Fermi energy in states/eV/f.u.: 1.712
Energy in eV/atom: -11.5041
Energy relative to the elements, uncorrected in meV/atom: -1959
Density in Mg/m³: 4.25
Symmetry: P4/mmm

Record 5
A PBEsol-optimized structure of ZrCrOF2. Source: Alexandria, functional meta-GGA SCAN.

Geometry as POSCAR:
```
ZrCrOF2
1.0
3.8820 0.0000 0.0000
0.0000 4.0164 0.0000
0.0000 0.0000 4.0164
Zr Cr F O
1 1 2 1
direct
0.5000 0.5000 0.5000 Zr
0.0000 0.0000 0.0000 Cr
0.0000 0.5000 0.0000 F
0.0000 0.0000 0.5000 F
0.5000 0.0000 0.0000 O
```

Computed properties:
DOS at the Fermi energy in states/eV/f.u.: 1.858
Energy in eV/atom: -14.3020
Energy relative to the elements, uncorrected in meV/atom: -1823
Density in Mg/m³: 5.23
Symmetry: P4/mmm

Record 6
A PBEsol-optimized structure of CrOs2F. Source: Alexandria, functional meta-GGA SCAN.

Geometry as POSCAR:
```
CrOs2F
1.0
4.1066 0.0000 0.0000
2.0533 3.5564 0.0000
2.0533 1.1855 3.3531
Os Cr F
2 1 1
direct
0.2500 0.2500 0.2500 Os
0.7500 0.7500 0.7500 Os
0.5000 0.5000 0.5000 Cr
0.0000 0.0000 0.0000 F
```

Computed properties:
DOS at the Fermi energy in states/eV/f.u.: 2.836
Energy in eV/atom: -41.0252
Energy relative to the elements, uncorrected in meV/atom: 396
Density in Mg/m³: 15.31
Symmetry: Fm-3m

Record 7
A PBEsol-optimized structure of CrOsF2. Source: Alexandria, functional meta-GGA SCAN.

Geometry as POSCAR:
```
CrOsF2
1.0
2.5813 0.0000 0.0000
1.2906 2.2355 0.0000
1.2906 0.7452 9.9442
F Os Cr
2 1 1
direct
0.9424 0.9424 0.1728 F
0.0576 0.0576 0.8272 F
0.5000 0.5000 0.5000 Os
0.0000 0.0000 0.0000 Cr
```

Computed properties:
DOS at the Fermi energy in states/eV/f.u.: 2.548
Energy in eV/atom: -24.8490
Energy relative to the elements, uncorrected in meV/atom: -513
Density in Mg/m³: 8.11
Symmetry: R-3m

Record 8
A PBEsol-optimized structure of TaCrOs2F. Source: Alexandria, functional meta-GGA SCAN.

Geometry as POSCAR:
```
TaCrOs2F
1.0
3.4641 0.0000 0.0000
0.0000 4.6267 0.0000
0.0000 0.0000 4.6267
F Os Cr Ta
1 2 1 1
direct
0.5000 0.0000 0.0000 F
0.0000 0.0000 0.5000 Os
0.0000 0.5000 0.0000 Os
0.0000 0.0000 0.0000 Cr
0.5000 0.5000 0.5000 Ta
```

Computed properties:
DOS at the Fermi energy in states/eV/f.u.: 3.705
Energy in eV/atom: -45.9621
Energy relative to the elements, uncorrected in meV/atom: 491
Density in Mg/m³: 14.16
Symmetry: P4/mmm